No. 1
PBE-GGA SiSb2Cl, optimized geometry; formation energy from raw total energies = 0.045 eV per atom; D(E_F) = 0.98 states/eV per cell; E above lowest polymorph = 0.011 eV per atom; E = -15.335 eV per cell
1.0
-6.4625 -3.9571 1.4719
-2.0589 -7.2524 1.6594
4.5167 6.1596 1.1173
Cl Sb Si
1 2 1
direct
0.2813 0.7813 0.5000 Cl
0.9987 0.9987 0.0000 Sb
0.6784 0.1784 0.5000 Sb
0.5416 0.5416 0.0000 Si


No. 2
PBE-GGA Sr2FeAs2, optimized geometry; formation enthalpy at 0 K = -462 meV/atom; D(E_F) = 5.91 states/eV per cell; E = -46.873 eV per cell
1.0
7.1885 0.0000 0.0000
0.0000 7.1885 0.0000
0.0000 0.0000 4.6835
Sr As Fe
4 4 2
direct
0.8320 0.3320 0.5000 Sr
0.1680 0.6680 0.5000 Sr
0.3320 0.1680 0.5000 Sr
0.6680 0.8320 0.5000 Sr
0.6446 0.1446 0.0000 As
0.1446 0.3554 0.0000 As
0.3554 0.8554 0.0000 As
0.8554 0.6446 0.0000 As
0.0000 0.0000 0.0000 Fe
0.5000 0.5000 0.0000 Fe


No. 3
PBE-GGA TiTl2I4Cl2, optimized geometry; formation energy from raw total energies = -0.897 eV per atom; E = -30.597 eV per cell
1.0
-1.0710 -2.8403 5.9151
-0.2152 -6.2735 -4.1458
6.7145 -3.1036 -1.3690
Cl I Tl Ti
2 4 2 1
direct
0.7054 0.8702 0.8702 Cl
0.2946 0.1298 0.1298 Cl
0.2554 0.6441 0.1321 I
0.7446 0.8679 0.3559 I
0.7446 0.3559 0.8679 I
0.2554 0.1321 0.6441 I
0.3417 0.6543 0.6543 Tl
0.6583 0.3457 0.3457 Tl
0.5000 0.0000 0.0000 Ti


No. 4
PBE-GGA Ru2WSe, optimized geometry; formation energy from raw total energies = 0.133 eV per atom; D(E_F) = 2.77 states/eV per cell; E = -34.459 eV per cell
1.0
2.8640 0.5632 0.0000
-0.5624 2.8642 0.0000
0.0000 0.0000 7.0178
W Ru Se
1 2 1
direct
0.5000 0.5000 0.7500 W
0.0000 0.0000 0.0110 Ru
0.0000 0.0000 0.4890 Ru
0.5000 0.5000 0.2500 Se


No. 5
PBE-GGA Sm6Mn3S14, optimized geometry; formation energy from raw total energies = -1.485 eV per atom; D(E_F) = 10.46 states/eV per cell; E = -147.757 eV per cell
1.0
-0.9396 -5.3504 -2.2812
2.4163 3.4119 -8.9974
7.0119 -3.7587 5.9278
Sm S Mn
6 14 3
direct
0.2545 0.2929 0.1907 Sm
0.7468 0.0365 0.4749 Sm
0.7468 0.5251 0.5616 Sm
0.2545 0.8978 0.7071 Sm
0.7468 0.4384 0.9635 Sm
0.2545 0.8093 0.1022 Sm
0.2542 0.5192 0.0989 S
0.6988 0.4338 0.2415 S
0.2542 0.5797 0.4808 S
0.4847 0.1840 0.7570 S
0.4611 0.0000 0.0000 S
0.4847 0.2430 0.4271 S
0.6988 0.7585 0.1923 S
0.9831 0.7563 0.8445 S
0.9637 0.3333 0.6667 S
0.6988 0.8077 0.5662 S
0.2542 0.9011 0.4203 S
0.9831 0.0882 0.2437 S
0.9831 0.1555 0.9118 S
0.4847 0.5729 0.8160 S
0.3400 0.3333 0.6667 Mn
0.4703 0.6667 0.3333 Mn
0.8416 0.0000 0.0000 Mn


No. 6
PBE-GGA KMgPb2, optimized geometry; formation enthalpy at 0 K = 24 meV/atom; D(E_F) = 2.56 states/eV per cell; E = -10.014 eV per cell
1.0
-1.6781 -2.2251 4.9258
-0.0414 -5.6159 0.7003
3.7755 -2.4519 3.4299
Pb Mg K
2 1 1
direct
0.2500 0.2500 0.2500 Pb
0.0000 0.0000 0.0000 Pb
0.7500 0.7500 0.7500 Mg
0.5000 0.5000 0.5000 K


No. 7
PBE-GGA La7SmDy4, optimized geometry; formation enthalpy at 0 K = 14 meV/atom; D(E_F) = 18.77 states/eV per cell; E above lowest polymorph = 0.000 eV per atom; E = -57.449 eV per cell
1.0
-2.1548 7.0633 -0.1339
2.4414 0.8607 5.8829
6.4189 9.6413 -1.7401
La Dy Sm
7 4 1
direct
0.7433 0.4992 0.0034 La
0.3331 0.7783 0.6664 La
0.0839 0.2806 0.6651 La
0.9161 0.7194 0.3349 La
0.6669 0.2217 0.3336 La
0.5000 0.0000 0.0000 La
0.2567 0.5008 0.9966 La
0.1647 0.2195 0.3357 Dy
0.8353 0.7805 0.6643 Dy
0.4131 0.7240 0.3320 Dy
0.5869 0.2760 0.6680 Dy
0.0000 0.0000 0.0000 Sm


No. 8
PBE-GGA TmZrCd14, optimized geometry; formation enthalpy at 0 K = -71 meV/atom; D(E_F) = 8.04 states/eV per cell; E = -26.966 eV per cell
1.0
-4.7148 0.7451 -4.3923
3.7501 -2.7892 -4.4982
-3.1529 -7.6141 2.0928
Cd Zr Tm
14 1 1
direct
0.8750 0.3750 0.5000 Cd
0.3750 0.8750 0.0000 Cd
0.6210 0.1290 0.7525 Cd
0.3750 0.3750 0.0000 Cd
0.1290 0.6210 0.2475 Cd
0.6210 0.6210 0.7524 Cd
0.3750 0.8750 0.5000 Cd
0.1290 0.1290 0.2476 Cd
0.6210 0.6210 0.2476 Cd
0.1290 0.1290 0.7524 Cd
0.8750 0.3750 0.0000 Cd
0.6210 0.1290 0.2475 Cd
0.8750 0.8750 0.0000 Cd
0.1290 0.6210 0.7525 Cd
0.3750 0.3750 0.5000 Zr
0.8750 0.8750 0.5000 Tm


No. 9
PBE-GGA GaSnW2C, optimized geometry; formation enthalpy at 0 K = 841 meV/atom; D(E_F) = 3.51 states/eV per cell; E above lowest polymorph = 0.000 eV per atom; E = -37.953 eV per cell
1.0
-2.9058 0.5517 2.9079
-3.4868 -0.5887 -3.3726
-0.0305 -4.0804 0.7437
Sn W Ga C
1 2 1 1
direct
0.0000 0.5000 0.0000 Sn
0.5000 0.0000 0.0000 W
0.0000 0.0000 0.5000 W
0.5000 0.5000 0.5000 Ga
0.0000 0.0000 0.0000 C


No. 10
PBE-GGA Cs2TlCd3, optimized geometry; formation enthalpy at 0 K = -78 meV/atom; D(E_F) = 6.48 states/eV per cell; E = -14.575 eV per cell
1.0
6.4530 0.0000 0.0000
0.0000 7.4442 0.0000
0.0000 0.0000 9.9038
Cs Cd Tl
4 6 2
direct
0.7500 0.0000 0.6159 Cs
0.2500 0.0000 0.3841 Cs
0.7500 0.5000 0.8487 Cs
0.2500 0.5000 0.1513 Cs
0.5000 0.0000 0.0000 Cd
0.2500 0.7914 0.7899 Cd
0.7500 0.7914 0.2101 Cd
0.7500 0.2086 0.2101 Cd
0.2500 0.2086 0.7899 Cd
0.0000 0.0000 0.0000 Cd
0.2500 0.5000 0.5717 Tl
0.7500 0.5000 0.4283 Tl


No. 11
PBE-GGA Na2MoH6, optimized geometry; D(E_F) = 10.09 states/eV per cell; E above lowest polymorph = 0.010 eV per atom; E = -30.978 eV per cell
1.0
4.6125 0.0000 2.6630
1.5375 4.3487 2.6630
0.0000 0.0000 5.3261
H Mo Na
6 1 2
direct
0.7569 0.7569 0.2431 H
0.2431 0.2431 0.7569 H
0.7569 0.2431 0.2431 H
0.7569 0.2431 0.7569 H
0.2431 0.7569 0.7569 H
0.2431 0.7569 0.2431 H
0.0000 0.0000 0.0000 Mo
0.2500 0.2500 0.2500 Na
0.7500 0.7500 0.7500 Na


No. 12
PBE-GGA Tm2ThTe2, optimized geometry; formation energy from raw total energies = -0.751 eV per atom; D(E_F) = 5.82 states/eV per cell; E = -52.800 eV per cell
1.0
-1.7902 -0.3067 3.4164
2.1886 -8.6676 2.5370
6.0539 4.0792 5.7007
Th Tm Te
2 4 4
direct
0.7500 0.7501 0.2502 Th
0.2500 0.2499 0.7498 Th
0.8541 0.3396 0.4498 Tm
0.3540 0.8394 0.9499 Tm
0.6460 0.1606 0.0501 Tm
0.1459 0.6604 0.5502 Tm
0.1011 0.0336 0.2681 Te
0.3991 0.4667 0.2319 Te
0.8989 0.9664 0.7319 Te
0.6009 0.5333 0.7681 Te


| no. | V (Å³ per atom) |
| --- | --- |
| 1 | 27.301 |
| 2 | 24.202 |
| 3 | 37.511 |
| 4 | 14.948 |
| 5 | 21.837 |
| 6 | 32.045 |
| 7 | 34.981 |
| 8 | 22.360 |
| 9 | 16.813 |
| 10 | 39.646 |
| 11 | 11.870 |
| 12 | 31.586 |